Record 1
Below is a relaxed structure of ReMo5, with properties calculated at the PBE level.

Calculated values
density of states at the Fermi level	1.009	states/eV per atom
formation enthalpy at 0 K	0.32	eV/atom
energy relative to the lowest polymorph listed for this composition	0.307	eV/atom

Lattice parameters (Å, degrees): 7.9121 7.9121 4.7136 90.00 90.00 161.06
Positions (direct):
1 Mo 0.3299 0.6701 0.0000
2 Mo 0.2291 0.7709 0.5000
3 Mo 0.5588 0.4412 0.5000
4 Mo 0.6615 0.3385 0.0000
5 Mo 0.9938 0.0062 0.0000
6 Re 0.8936 0.1064 0.5000

***

Record 2
Below is a relaxed structure of La3BSe, with properties calculated at the PBE level.

Calculated values
density of states at the Fermi level	1.105	states/eV per atom
energy relative to the lowest polymorph listed for this composition	0.000	eV/atom
uncorrected formation energy	-0.384	eV/atom

Lattice parameters (Å, degrees): 5.2386 5.2386 5.2386 90.00 90.00 90.00
Positions (direct):
1 Se 0.5000 0.5000 0.5000
2 La 0.0000 0.5000 0.0000
3 B 0.0000 0.0000 0.0000
4 La 0.5000 0.0000 0.0000
5 La 0.0000 0.0000 0.5000

***

Record 3
Below is a relaxed structure of RuPbBr2, with properties calculated at the PBE level.

Calculated values
density of states at the Fermi level	1.042	states/eV per atom
energy relative to the lowest polymorph listed for this composition	0.510	eV/atom
uncorrected formation energy	0.493	eV/atom

Lattice parameters (Å, degrees): 6.6426 6.6426 7.3759 63.24 63.24 90.00
Positions (direct):
1 Br 0.8750 0.7939 0.7500
2 Ru 0.5000 0.5000 0.0000
3 Br 0.2061 0.6250 0.2500
4 Ru 0.2500 0.7500 0.5000
5 Pb 0.7500 0.2500 0.5000
6 Br 0.3750 0.4561 0.7500
7 Br 0.5439 0.1250 0.2500
8 Pb 0.0000 0.0000 0.0000

***

Record 4
Below is a relaxed structure of GaPd6Se2, with properties calculated at the PBE level.

Calculated values
density of states at the Fermi level	0.570	states/eV per atom
uncorrected formation energy	-0.249	eV/atom

Lattice parameters (Å, degrees): 6.6081 5.6221 8.5709 90.00 103.16 90.00
Positions (direct):
1 Pd 0.1552 0.3300 0.0562
2 Se 0.4439 0.1373 0.2586
3 Pd 0.7644 0.6626 0.5386
4 Pd 0.2644 0.8374 0.0386
5 Pd 0.3448 0.8300 0.4438
6 Se 0.5561 0.8627 0.7414
7 Pd 0.6552 0.1700 0.5562
8 Pd 0.7956 0.3324 0.2847
9 Se 0.0561 0.6373 0.2414
10 Se 0.9439 0.3627 0.7586
11 Pd 0.8448 0.6700 0.9438
12 Pd 0.2356 0.3374 0.4614
13 Pd 0.7044 0.8324 0.2153
14 Ga 0.5000 0.5000 0.0000
15 Pd 0.7356 0.1626 0.9614
16 Ga 0.0000 0.0000 0.5000
17 Pd 0.2956 0.1676 0.7847
18 Pd 0.2044 0.6676 0.7153

***

Record 5
Below is a relaxed structure of IrPb2I2, with properties calculated at the PBE level.

Calculated values
density of states at the Fermi level	0.500	states/eV per atom
energy relative to the lowest polymorph listed for this composition	0.000	eV/atom
uncorrected formation energy	0.324	eV/atom

Lattice parameters (Å, degrees): 7.6848 7.6848 5.7759 90.00 90.00 90.00
Positions (direct):
1 Pb 0.2135 0.2865 0.0000
2 Ir 0.0000 0.0000 0.0000
3 Pb 0.2865 0.7865 0.0000
4 I 0.8286 0.3286 0.5000
5 I 0.1714 0.6714 0.5000
6 Pb 0.7135 0.2135 0.0000
7 I 0.6714 0.8286 0.5000
8 I 0.3286 0.1714 0.5000
9 Ir 0.5000 0.5000 0.0000
10 Pb 0.7865 0.7135 0.0000

***

Record 6
Below is a relaxed structure of LaSbAs2, with properties calculated at the PBE level.

Calculated values
density of states at the Fermi level	0.023	states/eV per atom
uncorrected formation energy	-0.742	eV/atom

Lattice parameters (Å, degrees): 4.2433 4.4252 7.1961 59.02 90.00 90.00
Positions (direct):
1 Sb 0.5000 0.7685 0.8221
2 As 0.0000 0.1077 0.8936
3 As 0.5000 0.0788 0.3802
4 La 0.0000 0.5450 0.4040

***

Record 7
Below is a relaxed structure of CaMoCl3, with properties calculated at the PBE level.

Calculated values
density of states at the Fermi level	0.924	states/eV per atom
energy relative to the lowest polymorph listed for this composition	0.000	eV/atom
uncorrected formation energy	-0.653	eV/atom

Lattice parameters (Å, degrees): 5.3111 5.3111 5.3111 90.00 90.00 90.00
Positions (direct):
1 Cl 0.0000 0.0000 0.5000
2 Mo 0.5000 0.5000 0.5000
3 Ca 0.0000 0.0000 0.0000
4 Cl 0.5000 0.0000 0.0000
5 Cl 0.0000 0.5000 0.0000

***

Record 8
Below is a relaxed structure of AlMoIr2Br, with properties calculated at the PBE level.

Calculated values
density of states at the Fermi level	0.767	states/eV per atom
uncorrected formation energy	1.622	eV/atom

Lattice parameters (Å, degrees): 4.6054 4.5894 4.6054 90.00 90.00 90.00
Positions (direct):
1 Mo 0.0000 0.5000 0.0000
2 Ir 0.0000 0.0000 0.5000
3 Ir 0.5000 0.0000 0.0000
4 Al 0.5000 0.5000 0.5000
5 Br 0.0000 0.0000 0.0000

***

Record 9
Below is a relaxed structure of NdGdSc2, with properties calculated at the PBE level.

Calculated values
density of states at the Fermi level	1.470	states/eV per atom
formation enthalpy at 0 K	0.07	eV/atom
energy relative to the lowest polymorph listed for this composition	0.019	eV/atom

Lattice parameters (Å, degrees): 3.9042 3.9042 7.5842 90.00 90.00 90.00
Positions (direct):
1 Gd 0.5000 0.5000 0.0000
2 Sc 0.0000 0.0000 0.7561
3 Sc 0.0000 0.0000 0.2439
4 Nd 0.5000 0.5000 0.5000

***

Record 10
Below is a relaxed structure of CaSnPt4, with properties calculated at the PBE level.

Calculated values
density of states at the Fermi level	0.506	states/eV per atom
formation enthalpy at 0 K	-0.63	eV/atom
energy relative to the lowest polymorph listed for this composition	0.000	eV/atom

Lattice parameters (Å, degrees): 5.4256 5.4256 5.4256 60.00 60.00 60.00
Positions (direct):
1 Pt 0.6253 0.6253 0.1241
2 Pt 0.1241 0.6253 0.6253
3 Sn 0.0000 0.0000 0.0000
4 Pt 0.6253 0.1241 0.6253
5 Ca 0.2500 0.2500 0.2500
6 Pt 0.6253 0.6253 0.6253

***

Record 11
Below is a relaxed structure of Ac3PaSi2N6, with properties calculated at the PBE level.

Calculated values
uncorrected formation energy	-1.256	eV/atom

Lattice parameters (Å, degrees): 5.9189 5.9189 6.8634 90.00 90.00 120.00
Positions (direct):
1 Si 0.6667 0.3333 0.8153
2 N 0.8230 0.6459 0.6967
3 N 0.6459 0.8230 0.3033
4 N 0.1770 0.8230 0.3033
5 N 0.8230 0.1770 0.6967
6 Ac 0.3333 0.6667 0.6528
7 Ac 0.0000 0.0000 0.0000
8 Si 0.3333 0.6667 0.1847
9 N 0.1770 0.3541 0.3033
10 Pa 0.0000 0.0000 0.5000
11 Ac 0.6667 0.3333 0.3472
12 N 0.3541 0.1770 0.6967

***

Record 12
Below is a relaxed structure of Ti4CuMo3, with properties calculated at the PBE level.

Calculated values
density of states at the Fermi level	1.115	states/eV per atom
formation enthalpy at 0 K	-0.10	eV/atom

Lattice parameters (Å, degrees): 3.1899 4.5085 8.6715 90.00 90.00 90.00
Positions (direct):
1 Mo 0.5000 0.0000 0.7562
2 Ti 0.0000 0.5000 0.7474
3 Mo 0.5000 0.5000 0.5000
4 Ti 0.0000 0.0000 0.0000
5 Ti 0.0000 0.0000 0.5000
6 Cu 0.5000 0.5000 0.0000
7 Ti 0.0000 0.5000 0.2526
8 Mo 0.5000 0.0000 0.2438